Computed, not measured: a geometry-optimized HoEr6In4 structure at the PBE level of DFT.

Values from the calculation:
energy of formation: -0.08 eV per atom
E_tot: -3.977 eV/atom

Geometry as CIF:
```
data_HoEr6In4
_chemical_formula_sum 'Ho2 Er12 In8'
_symmetry_space_group_name_H-M 'I -4 2 m'
_symmetry_Int_Tables_number 121
_symmetry_space_group_name_Hall 'I -4 2'
_cell_length_a 7.655
_cell_length_b 7.655
_cell_length_c 11.646
_cell_angle_alpha 90.00
_cell_angle_beta 90.00
_cell_angle_gamma 90.00
loop_
_atom_site_label
_atom_site_type_symbol
_atom_site_fract_x
_atom_site_fract_y
_atom_site_fract_z
Ho1 Ho 0.000 0.000 0.000
Er1 Er 0.000 0.500 0.000
Er2 Er 0.188 0.188 0.713
In1 In 0.170 0.170 0.432
```

---

Computed, not measured: a geometry-optimized HoEr12In6 structure at the PBE level of DFT.

Values from the calculation:
energy of formation: -0.19 eV per atom
E_tot: -4.180 eV/atom

Geometry as CIF:
```
data_HoEr12In6
_chemical_formula_sum 'Ho3 Er36 In18'
_symmetry_space_group_name_H-M 'R -3'
_symmetry_Int_Tables_number 148
_symmetry_space_group_name_Hall '-R 3'
_cell_length_a 11.3584
_cell_length_b 11.3584
_cell_length_c 14.3425
_cell_angle_alpha 90.00
_cell_angle_beta 90.00
_cell_angle_gamma 120.00
loop_
_atom_site_label
_atom_site_type_symbol
_atom_site_fract_x
_atom_site_fract_y
_atom_site_fract_z
Ho1 Ho 0.0000 0.0000 0.0000
Er1 Er 0.0541 0.8671 0.8068
Er2 Er 0.0631 0.2150 0.4103
In1 In 0.0266 0.5908 0.7146
```

---

Computed, not measured: a geometry-optimized Ho4ErIn structure at the PBE level of DFT.

Values from the calculation:
energy of formation: -0.12 eV per atom
offset from the most stable computed form: 30 meV per atom
E_tot: -4.389 eV/atom

Geometry as CIF:
```
data_Ho4ErIn
_chemical_formula_sum 'Ho16 Er4 In4'
_symmetry_space_group_name_H-M 'C m c 21'
_symmetry_Int_Tables_number 36
_cell_length_a 4.845
_cell_length_b 14.667
_cell_length_c 9.817
_cell_angle_alpha 90.00
_cell_angle_beta 90.00
_cell_angle_gamma 90.00
loop_
_symmetry_equiv_pos_as_xyz
'x,y,z'
'-x,-y,z+1/2'
'-x,y,z'
'x,-y,z+1/2'
'x+1/2,y+1/2,z'
'-x+1/2,-y+1/2,z+1/2'
'-x+1/2,y+1/2,z'
'x+1/2,-y+1/2,z+1/2'
loop_
_atom_site_label
_atom_site_type_symbol
_atom_site_fract_x
_atom_site_fract_y
_atom_site_fract_z
Ho1 Ho 0.000 0.000 0.000
Ho2 Ho 0.000 0.173 0.250
Ho3 Ho 0.000 0.332 0.505
Ho4 Ho 0.000 0.496 0.250
Er1 Er 0.000 0.333 0.995
In1 In 0.000 0.166 0.750
```

---

Computed, not measured: a geometry-optimized Ho3Er4In2 structure at the PBE level of DFT.

Values from the calculation:
energy of formation: -0.18 eV per atom
E_tot: -4.340 eV/atom

Geometry as CIF:
```
data_Ho3Er4In2
_chemical_formula_sum 'Ho6 Er8 In4'
_symmetry_space_group_name_H-M 'C 1 2/m 1'
_symmetry_Int_Tables_number 12
_cell_length_a 14.841
_cell_length_b 4.876
_cell_length_c 7.573
_cell_angle_alpha 90.00
_cell_angle_beta 108.81
_cell_angle_gamma 90.00
loop_
_symmetry_equiv_pos_as_xyz
'x,y,z'
'-x,-y,-z'
'-x,y,-z'
'x,-y,z'
'x+1/2,y+1/2,z'
'-x+1/2,-y+1/2,-z'
'-x+1/2,y+1/2,-z'
'x+1/2,-y+1/2,z'
loop_
_atom_site_label
_atom_site_type_symbol
_atom_site_fract_x
_atom_site_fract_y
_atom_site_fract_z
Ho1 Ho 0.000 0.000 0.000
Ho2 Ho 0.114 0.000 0.673
Er1 Er 0.055 0.500 0.328
Er2 Er 0.221 0.000 0.319
In1 In 0.160 0.500 0.999
```